No. 1
Here is an optimized crystal structure of BaLiSi from the Alexandria database. Energies are from GGA-PBE.

Structure (POSCAR):
```
BaLiSi
1.0
-1.8908 1.8908 5.7143
1.8908 -1.8908 5.7143
1.8908 1.8908 -5.7143
Ba Li Si
1 1 1
Direct
0.0000 0.0000 0.0000
0.7318 0.7318 0.0000
0.3097 0.3097 0.0000
```

Results
Symmetry = I4mm
Volume = 82 Å³/f.u.
E_tot = -0.227 Ry per atom
DOS at the Fermi energy = 1.9 states/eV per cell
Energy relative to the elements, uncorrected = 0.004 eV per atom

***

No. 2
Here is an optimized crystal structure of BaLi2Si from the Alexandria database. Energies are from GGA-PBE.

Structure (POSCAR):
```
BaLi2Si
1.0
4.6596 0.0000 0.0000
0.0000 6.6905 0.0000
0.0000 0.0000 6.3820
Ba Li Si
2 4 2
Direct
0.2500 0.2500 0.0941
0.7500 0.7500 0.9059
0.2500 0.0481 0.5885
0.2500 0.4519 0.5885
0.7500 0.5481 0.4115
0.7500 0.9519 0.4115
0.2500 0.7500 0.3076
0.7500 0.2500 0.6924
```

Results
Symmetry = Pmmn
Volume = 99 Å³/f.u.
E_tot = -0.225 Ry per atom
DOS at the Fermi energy = 0.9 states/eV per cell
Energy relative to the elements, uncorrected = -0.272 eV per atom

***

No. 3
Here is an optimized crystal structure of BaLiSi2 from the Alexandria database. Energies are from GGA-PBE.

Structure (POSCAR):
```
BaLiSi2
1.0
-2.0124 2.5399 5.0671
2.0124 -2.5399 5.0671
2.0124 2.5399 -5.0671
Ba Li Si
1 1 2
Direct
0.0000 0.0000 0.0000
0.3433 0.3433 0.0000
0.6146 0.6146 0.0000
0.7432 0.2432 0.5000
```

Results
Symmetry = Imm2
Volume = 104 Å³/f.u.
E_tot = -0.288 Ry per atom
DOS at the Fermi energy = 1.2 states/eV per cell
Energy relative to the elements, uncorrected = -0.250 eV per atom

***

No. 4
Here is an optimized crystal structure of BaLiSi2 from the Alexandria database. Energies are from GGA-PBE.

Structure (POSCAR):
```
BaLiSi2
1.0
4.3867 -1.9528 0.0000
4.3867 1.9528 0.0000
-2.8280 0.0000 5.7686
Ba Li Si
1 1 2
Direct
0.0000 0.0000 0.0000
0.8198 0.8198 0.4425
0.1846 0.1846 0.6296
0.5199 0.5199 0.4566
```

Results
Symmetry = Cm
Volume = 99 Å³/f.u.
E_tot = -0.285 Ry per atom
DOS at the Fermi energy = 1.4 states/eV per cell
Energy relative to the elements, uncorrected = -0.212 eV per atom

***

What is the DOS at the Fermi energy in the first record?
1.9 states/eV per cell

***

Which value of DOS at the Fermi energy does entry 4 give?
1.4 states/eV per cell

***

Please write out number 2 again, unchanged.
Here is an optimized crystal structure of BaLi2Si from the Alexandria database. Energies are from GGA-PBE.

Structure (POSCAR):
```
BaLi2Si
1.0
4.6596 0.0000 0.0000
0.0000 6.6905 0.0000
0.0000 0.0000 6.3820
Ba Li Si
2 4 2
Direct
0.2500 0.2500 0.0941
0.7500 0.7500 0.9059
0.2500 0.0481 0.5885
0.2500 0.4519 0.5885
0.7500 0.5481 0.4115
0.7500 0.9519 0.4115
0.2500 0.7500 0.3076
0.7500 0.2500 0.6924
```

Results
Symmetry = Pmmn
Volume = 99 Å³/f.u.
E_tot = -0.225 Ry per atom
DOS at the Fermi energy = 0.9 states/eV per cell
Energy relative to the elements, uncorrected = -0.272 eV per atom